Model one:
{"formula": "SiPSCl2", "functional": "GGA-PBE", "state": "optimized geometry", "volume_a3_per_atom": 20.1, "dos_at_fermi_per_ev_cell": 3.5, "sg": "P4/mmm (123)", "density_g_cm3": 2.7, "cell": [[4.410, 0.000, 0.000], [0.000, 4.410, 0.000], [0.000, 0.000, 5.165]], "species": ["P", "Si", "Cl", "Cl", "S"], "frac_coords": [[0.000, 0.000, 0.500], [0.000, 0.000, 0.000], [0.500, 0.000, 0.000], [0.000, 0.500, 0.000], [0.500, 0.500, 0.500]]}

=====

Model two:
{"formula": "SiPSCl2", "functional": "GGA-PBE", "state": "optimized geometry", "volume_a3_per_atom": 21.1, "dos_at_fermi_per_ev_cell": 2.7, "sg": "P4/mmm (123)", "density_g_cm3": 2.6, "cell": [[4.689, 0.000, 0.000], [0.000, 4.689, 0.000], [0.000, 0.000, 4.795]], "species": ["Si", "Cl", "Cl", "P", "S"], "frac_coords": [[0.500, 0.500, 0.500], [0.500, 0.000, 0.000], [0.000, 0.500, 0.000], [0.000, 0.000, 0.000], [0.000, 0.000, 0.500]]}

=====

model one takes first place; second place is 1.1 kJ/mol of atoms up.

=====

Model one:
{"formula": "SrPSCl2", "functional": "GGA-PBE", "state": "optimized geometry", "volume_a3_per_atom": 37.8, "dos_at_fermi_per_ev_cell": 3.4, "sg": "P4/mmm (123)", "density_g_cm3": 1.9, "cell": [[5.536, 0.000, 0.000], [0.000, 5.536, 0.000], [0.000, 0.000, 6.174]], "species": ["P", "S", "Cl", "Cl", "Sr"], "frac_coords": [[0.500, 0.500, 0.500], [0.000, 0.000, 0.500], [0.500, 0.000, 0.000], [0.000, 0.500, 0.000], [0.000, 0.000, 0.000]]}

=====

Model two:
{"formula": "SrPSCl2", "functional": "GGA-PBE", "state": "optimized geometry", "volume_a3_per_atom": 38.0, "dos_at_fermi_per_ev_cell": 4.8, "sg": "P4/mmm (123)", "density_g_cm3": 1.9, "cell": [[-2.251, -0.537, 4.843], [-4.252, -2.389, -2.241], [2.922, -5.863, 0.708]], "species": ["S", "Sr", "Cl", "Cl", "P"], "frac_coords": [[0.500, 0.500, 0.500], [0.000, 0.000, 0.000], [0.500, 0.000, 0.000], [0.000, 0.500, 0.000], [0.000, 0.000, 0.500]]}

=====

Model three:
{"formula": "SrPSCl2", "functional": "GGA-PBE", "state": "optimized geometry", "volume_a3_per_atom": 24.6, "dos_at_fermi_per_ev_cell": 4.3, "sg": "P4/mmm (123)", "density_g_cm3": 3.0, "cell": [[5.145, 0.000, 0.000], [0.000, 5.145, 0.000], [0.000, 0.000, 4.645]], "species": ["Sr", "P", "Cl", "Cl", "S"], "frac_coords": [[0.500, 0.500, 0.500], [0.000, 0.000, 0.500], [0.500, 0.000, 0.000], [0.000, 0.500, 0.000], [0.000, 0.000, 0.000]]}

=====

Model four:
{"formula": "SrPSCl2", "functional": "GGA-PBE", "state": "optimized geometry", "volume_a3_per_atom": 23.5, "dos_at_fermi_per_ev_cell": 0.2, "sg": "P4/mmm (123)", "density_g_cm3": 3.1, "cell": [[-3.726, -1.341, -2.774], [-2.447, -1.357, 3.943], [-1.945, 4.615, 0.381]], "species": ["Sr", "Cl", "Cl", "P", "S"], "frac_coords": [[0.500, 0.500, 0.500], [0.500, 0.000, 0.000], [0.000, 0.500, 0.000], [0.000, 0.000, 0.000], [0.000, 0.000, 0.500]]}

=====

model four takes first place; second place is 42.1 kJ/mol of atoms up.

=====

Model one:
{"formula": "TaP2SCl", "functional": "GGA-PBE", "state": "optimized geometry", "volume_a3_per_atom": 17.6, "dos_at_fermi_per_ev_cell": 3.0, "sg": "P4/mmm (123)", "density_g_cm3": 5.9, "cell": [[-2.051, 1.093, -3.722], [-3.406, -2.522, 1.136], [-1.931, 3.558, 2.108]], "species": ["P", "P", "Ta", "Cl", "S"], "frac_coords": [[0.500, 0.000, 0.000], [0.000, 0.500, 0.000], [0.500, 0.500, 0.500], [0.000, 0.000, 0.000], [0.000, 0.000, 0.500]]}

=====

Model two:
{"formula": "TaP2SCl", "functional": "GGA-PBE", "state": "optimized geometry", "volume_a3_per_atom": 22.4, "dos_at_fermi_per_ev_cell": 3.7, "sg": "P4/mmm (123)", "density_g_cm3": 4.6, "cell": [[4.894, 0.000, 0.000], [0.000, 4.894, 0.000], [0.000, 0.000, 4.673]], "species": ["S", "P", "P", "Cl", "Ta"], "frac_coords": [[0.000, 0.000, 0.500], [0.500, 0.000, 0.000], [0.000, 0.500, 0.000], [0.500, 0.500, 0.500], [0.000, 0.000, 0.000]]}

=====

model two takes first place; second place is 108.8 kJ/mol of atoms up.

=====

Model one:
{"formula": "TaP2SCl", "functional": "GGA-PBE", "state": "optimized geometry", "volume_a3_per_atom": 17.7, "dos_at_fermi_per_ev_cell": 3.2, "sg": "P4/mmm (123)", "density_g_cm3": 5.8, "cell": [[-2.912, -1.670, 3.061], [-0.005, -3.986, -2.179], [3.288, -1.320, 2.407]], "species": ["P", "P", "Cl", "S", "Ta"], "frac_coords": [[0.500, 0.000, 0.000], [0.000, 0.500, 0.000], [0.000, 0.000, 0.500], [0.000, 0.000, 0.000], [0.500, 0.500, 0.500]]}

=====

Model two:
{"formula": "TaP2SCl", "functional": "GGA-PBE", "state": "optimized geometry", "volume_a3_per_atom": 22.3, "dos_at_fermi_per_ev_cell": 4.0, "sg": "P4/mmm (123)", "density_g_cm3": 4.6, "cell": [[-3.079, 1.440, 3.517], [-3.456, -2.943, -1.822], [1.503, -3.455, 2.730]], "species": ["P", "P", "Cl", "S", "Ta"], "frac_coords": [[0.000, 0.500, 0.000], [0.500, 0.000, 0.000], [0.000, 0.000, 0.500], [0.500, 0.500, 0.500], [0.000, 0.000, 0.000]]}

=====

model two takes first place; second place is 60.8 kJ/mol of atoms up.